VASP calculation (GGA+U) on crystalline SrVSn2F8 at its relaxed geometry.

The value obtained for the density is 4.543 g/cm3. The calculation puts the total DFT energy (no corrections) at -5.401 eV per atom.

a b c (Å): 4.2939 5.7328 7.8710
angles (deg): 91.42 92.97 93.85
Space group P-1 (No. 2)
Asymmetric unit:
Sr 0.0000 0.0000 0.0000 x1
V 0.0000 0.0000 0.5000 x1
Sn 0.4601 0.4827 0.7363 x2
F 0.0251 0.7427 0.2767 x2
F 0.0650 0.7893 0.7217 x2
F 0.4238 0.2256 0.5164 x2
F 0.5003 0.2365 0.9657 x2